This record from the Alexandria database describes a relaxed Pm2BiAu crystal. The functional is PBE.

Structure (CIF):
```
data_Pm2BiAu
_cell_length_a 4.4343
_cell_length_b 4.4343
_cell_length_c 22.0416
_cell_angle_alpha 90.00
_cell_angle_beta 90.00
_cell_angle_gamma 120.00
_space_group_name_H-M_alt 'R -3 m'
_space_group_IT_number 166
_space_group_name_Hall '-R 3 2"'
loop_
_atom_site_label
_atom_site_type_symbol
_atom_site_fract_x
_atom_site_fract_y
_atom_site_fract_z
Pm1 Pm 0.0000 0.0000 0.2442
Bi1 Bi 0.0000 0.0000 0.0000
Au1 Au 0.0000 0.0000 0.5000
```

Calculated values
The value obtained for the energy relative to the elements is -2.9 eV/f.u. The energy is -19.58 eV per formula unit. The excess energy over the best structure of this formula in the dataset comes out at 0 meV/atom. As for the crystal system: trigonal.